1.
The following is a DFT calculation (PBE) of an optimized crystal structure of InTc2Te.

Lattice parameters (Å, degrees): 4.625 4.625 3.270 90.00 90.00 90.00
Positions (direct):
In 0.000 0.000 0.000
Tc 0.000 0.500 0.500
Tc 0.500 0.000 0.500
Te 0.500 0.500 0.000

The value obtained for the volume is 70.0 Å³/cell. The final energy comes out at -6.286 eV per atom. The excess energy over the best structure of this formula in the dataset is 172 meV/atom. As for the formation energy from raw total energies: 0.37 eV/atom.

***

2.
The following is a DFT calculation (PBE) of an optimized crystal structure of TbSm2PaN4.

Lattice parameters (Å, degrees): 6.095 3.551 6.132 90.00 109.17 90.00
Positions (direct):
Tb 0.000 0.000 0.000
Sm 0.000 0.500 0.500
Sm 0.500 0.000 0.500
Pa 0.500 0.500 0.000
N 0.259 0.500 0.231
N 0.266 0.000 0.772
N 0.734 0.000 0.228
N 0.741 0.500 0.769

The value obtained for the volume is 125.4 Å³/cell. The final energy comes out at -8.728 eV per atom. As for the formation energy from raw total energies: -1.62 eV/atom.

***

3.
The following is a DFT calculation (PBE) of an optimized crystal structure of Sr2ZnCu6Ni.

Lattice parameters (Å, degrees): 5.062 6.518 6.655 78.31 67.98 67.19
Positions (direct):
Sr 0.239 0.314 0.207
Sr 0.761 0.686 0.793
Zn 0.000 0.000 0.000
Cu 0.223 0.780 0.281
Cu 0.251 0.906 0.590
Cu 0.284 0.221 0.719
Cu 0.716 0.779 0.281
Cu 0.749 0.094 0.410
Cu 0.777 0.220 0.719
Ni 0.500 0.500 0.500

The value obtained for the volume is 187.2 Å³/cell. The final energy comes out at -3.550 eV per atom. The formation energy comes out at -0.05 eV per atom.

***

4.
The following is a DFT calculation (PBE) of an optimized crystal structure of SrMnTlGa2.

Lattice parameters (Å, degrees): 4.755 4.755 5.097 90.00 90.00 90.00
Positions (direct):
Sr 0.000 0.000 0.000
Mn 0.500 0.500 0.500
Tl 0.500 0.500 0.000
Ga 0.000 0.500 0.500
Ga 0.500 0.000 0.500

The value obtained for the volume is 115.2 Å³/cell. The final energy comes out at -3.987 eV per atom. The formation energy comes out at -0.13 eV per atom.

***

5.
The following is a DFT calculation (PBE) of an optimized crystal structure of Pa2P4Pd3.

Lattice parameters (Å, degrees): 7.768 7.768 7.459 90.00 90.00 136.77
Positions (direct):
Pa 0.117 0.883 0.918
Pa 0.383 0.617 0.418
Pa 0.617 0.383 0.582
Pa 0.883 0.117 0.082
P 0.188 0.812 0.559
P 0.215 0.285 0.750
P 0.285 0.215 0.250
P 0.312 0.688 0.059
P 0.688 0.312 0.941
P 0.715 0.785 0.750
P 0.785 0.715 0.250
P 0.812 0.188 0.441
Pd 0.000 0.000 0.500
Pd 0.046 0.454 0.750
Pd 0.454 0.046 0.250
Pd 0.500 0.500 0.000
Pd 0.546 0.954 0.750
Pd 0.954 0.546 0.250

The value obtained for the volume is 308.3 Å³/cell. The final energy comes out at -7.057 eV per atom. The formation energy comes out at -0.81 eV per atom.

***

6.
The following is a DFT calculation (PBE) of an optimized crystal structure of FePb2Se2.

Lattice parameters (Å, degrees): 6.612 6.612 5.646 90.00 90.00 90.00
Positions (direct):
Fe 0.000 0.000 0.000
Fe 0.500 0.500 0.000
Pb 0.194 0.306 0.500
Pb 0.306 0.806 0.500
Pb 0.694 0.194 0.500
Pb 0.806 0.694 0.500
Se 0.175 0.675 0.000
Se 0.325 0.175 0.000
Se 0.675 0.825 0.000
Se 0.825 0.325 0.000

The value obtained for the volume is 246.8 Å³/cell. The final energy comes out at -4.555 eV per atom. The excess energy over the best structure of this formula in the dataset is 0 meV/atom. As for the formation energy from raw total energies: 0.01 eV/atom.

***

7.
The following is a DFT calculation (PBE) of an optimized crystal structure of SnPbS2.

Lattice parameters (Å, degrees): 3.769 3.769 26.547 90.00 90.00 120.00
Positions (direct):
Sn 0.000 0.000 0.000
Sn 0.333 0.667 0.667
Sn 0.667 0.333 0.333
Pb 0.000 0.000 0.500
Pb 0.333 0.667 0.167
Pb 0.667 0.333 0.833
S 0.000 0.000 0.391
S 0.000 0.000 0.609
S 0.333 0.667 0.058
S 0.333 0.667 0.276
S 0.667 0.333 0.724
S 0.667 0.333 0.942

The value obtained for the volume is 326.5 Å³/cell. The final energy comes out at -4.273 eV per atom. The excess energy over the best structure of this formula in the dataset is 199 meV/atom. As for the formation energy from raw total energies: -0.28 eV/atom.

***

8.
The following is a DFT calculation (PBE) of an optimized crystal structure of PrZnPt.

Lattice parameters (Å, degrees): 4.446 4.446 3.883 90.00 90.00 120.00
Positions (direct):
Pr 0.000 0.000 0.000
Zn 0.333 0.667 0.500
Pt 0.667 0.333 0.500

The value obtained for the volume is 66.5 Å³/cell. The final energy comes out at -4.860 eV per atom. The formation energy comes out at -0.83 eV per atom.

***

9.
The following is a DFT calculation (PBE) of an optimized crystal structure of PbIO5.

Lattice parameters (Å, degrees): 5.560 5.560 7.831 110.02 110.02 72.61
Positions (direct):
Pb 0.036 0.964 0.750
Pb 0.964 0.036 0.250
I 0.500 0.500 0.000
I 0.500 0.500 0.500
O 0.188 0.769 0.463
O 0.231 0.812 0.037
O 0.234 0.313 0.894
O 0.313 0.234 0.394
O 0.428 0.572 0.750
O 0.572 0.428 0.250
O 0.687 0.766 0.606
O 0.766 0.687 0.106
O 0.769 0.188 0.963
O 0.812 0.231 0.537

The value obtained for the volume is 209.1 Å³/cell. The final energy comes out at -4.634 eV per atom. As for the formation energy from raw total energies: -0.34 eV/atom.

***

10.
The following is a DFT calculation (PBE) of an optimized crystal structure of Th8Tl2Tc.

Lattice parameters (Å, degrees): 4.930 4.930 13.650 90.00 90.00 90.00
Positions (direct):
Th 0.000 0.000 0.185
Th 0.000 0.000 0.815
Th 0.000 0.500 0.000
Th 0.000 0.500 0.371
Th 0.000 0.500 0.629
Th 0.500 0.000 0.000
Th 0.500 0.000 0.371
Th 0.500 0.000 0.629
Tl 0.500 0.500 0.183
Tl 0.500 0.500 0.817
Tc 0.500 0.500 0.500

The value obtained for the volume is 331.7 Å³/cell. The final energy comes out at -6.772 eV per atom. The formation energy comes out at 0.00 eV per atom.

***

11.
The following is a DFT calculation (PBE) of an optimized crystal structure of BaSi3Ag.

Lattice parameters (Å, degrees): 5.042 5.042 5.042 90.00 90.00 90.00
Positions (direct):
Ba 0.000 0.000 0.000
Si 0.000 0.500 0.500
Si 0.500 0.000 0.500
Si 0.500 0.500 0.000
Ag 0.500 0.500 0.500

The value obtained for the volume is 128.2 Å³/cell. The final energy comes out at -3.697 eV per atom. As for the formation energy from raw total energies: 0.51 eV/atom.

***

12.
The following is a DFT calculation (PBE) of an optimized crystal structure of TmMnZnCo.

Lattice parameters (Å, degrees): 6.392 6.392 6.392 90.00 90.00 90.00
Positions (direct):
Tm 0.000 0.000 0.000
Tm 0.000 0.500 0.500
Tm 0.500 0.000 0.500
Tm 0.500 0.500 0.000
Mn 0.000 0.000 0.500
Mn 0.000 0.500 0.000
Mn 0.500 0.000 0.000
Mn 0.500 0.500 0.500
Zn 0.250 0.250 0.250
Zn 0.250 0.750 0.750
Zn 0.750 0.250 0.750
Zn 0.750 0.750 0.250
Co 0.250 0.250 0.750
Co 0.250 0.750 0.250
Co 0.750 0.250 0.250
Co 0.750 0.750 0.750

The value obtained for the volume is 261.2 Å³/cell. The final energy comes out at -5.538 eV per atom. The formation energy comes out at -0.03 eV per atom.

***

13.
The following is a DFT calculation (PBE) of an optimized crystal structure of Ce3NdTh2P6.

Lattice parameters (Å, degrees): 7.141 7.141 7.143 99.59 99.59 119.99
Positions (direct):
Ce 0.000 0.000 0.000
Ce 0.334 0.666 0.000
Ce 0.666 0.334 0.000
Nd 0.500 0.500 0.500
Th 0.167 0.833 0.500
Th 0.833 0.167 0.500
P 0.080 0.415 0.246
P 0.249 0.249 0.754
P 0.415 0.080 0.246
P 0.585 0.920 0.754
P 0.751 0.751 0.246
P 0.920 0.585 0.754

The value obtained for the volume is 297.5 Å³/cell. The final energy comes out at -7.362 eV per atom. The formation energy comes out at -1.54 eV per atom.

***

14.
The following is a DFT calculation (PBE) of an optimized crystal structure of ScTc2Ru.

Lattice parameters (Å, degrees): 2.850 2.850 26.940 90.00 90.00 120.00
Positions (direct):
Sc 0.000 0.000 0.000
Sc 0.333 0.667 0.667
Sc 0.667 0.333 0.333
Tc 0.000 0.000 0.245
Tc 0.000 0.000 0.755
Tc 0.333 0.667 0.422
Tc 0.333 0.667 0.912
Tc 0.667 0.333 0.088
Tc 0.667 0.333 0.578
Ru 0.000 0.000 0.500
Ru 0.333 0.667 0.167
Ru 0.667 0.333 0.833

The value obtained for the volume is 189.4 Å³/cell. The final energy comes out at -8.900 eV per atom. The formation energy comes out at 0.19 eV per atom. The excess energy over the best structure of this formula in the dataset is 303 meV/atom.

***

15.
The following is a DFT calculation (PBE) of an optimized crystal structure of Pa3Ge4Rh4.

Lattice parameters (Å, degrees): 8.132 8.132 8.132 150.43 129.62 59.50
Positions (direct):
Pa 0.000 0.000 0.000
Pa 0.370 0.870 0.500
Pa 0.630 0.130 0.500
Ge 0.209 0.209 0.000
Ge 0.302 0.500 0.802
Ge 0.698 0.500 0.198
Ge 0.791 0.791 0.000
Rh 0.034 0.324 0.710
Rh 0.386 0.676 0.710
Rh 0.614 0.324 0.290
Rh 0.966 0.676 0.290

The value obtained for the volume is 202.8 Å³/cell. The final energy comes out at -7.747 eV per atom. The formation energy comes out at -0.81 eV per atom.

***

16.
The following is a DFT calculation (PBE) of an optimized crystal structure of NbBrCl3.

Lattice parameters (Å, degrees): 8.416 8.416 8.416 65.63 65.63 65.63
Positions (direct):
Nb 0.134 0.134 0.134
Nb 0.866 0.866 0.866
Br 0.258 0.258 0.258
Br 0.742 0.742 0.742
Cl 0.177 0.768 0.768
Cl 0.232 0.232 0.823
Cl 0.232 0.823 0.232
Cl 0.768 0.177 0.768
Cl 0.768 0.768 0.177
Cl 0.823 0.232 0.232

The value obtained for the volume is 473.1 Å³/cell. The final energy comes out at -4.495 eV per atom. The excess energy over the best structure of this formula in the dataset is 94 meV/atom. As for the formation energy from raw total energies: -1.04 eV/atom.

***

17.
The following is a DFT calculation (PBE) of an optimized crystal structure of Ce6ZrS12.

Lattice parameters (Å, degrees): 7.970 7.970 7.970 98.99 98.99 98.99
Positions (direct):
Ce 0.125 0.636 0.802
Ce 0.198 0.875 0.364
Ce 0.364 0.198 0.875
Ce 0.636 0.802 0.125
Ce 0.802 0.125 0.636
Ce 0.875 0.364 0.198
Zr 0.500 0.500 0.500
S 0.066 0.322 0.916
S 0.084 0.934 0.678
S 0.184 0.538 0.434
S 0.322 0.916 0.066
S 0.434 0.184 0.538
S 0.462 0.566 0.816
S 0.538 0.434 0.184
S 0.566 0.816 0.462
S 0.678 0.084 0.934
S 0.816 0.462 0.566
S 0.916 0.066 0.322
S 0.934 0.678 0.084

The value obtained for the volume is 485.4 Å³/cell. The final energy comes out at -6.811 eV per atom. As for the formation energy from raw total energies: -1.88 eV/atom.

***

18.
The following is a DFT calculation (PBE) of an optimized crystal structure of LaNpN3.

Lattice parameters (Å, degrees): 4.239 4.239 4.239 90.00 90.00 90.00
Positions (direct):
La 0.000 0.000 0.000
Np 0.500 0.500 0.500
N 0.000 0.500 0.500
N 0.500 0.000 0.500
N 0.500 0.500 0.000

The value obtained for the volume is 76.2 Å³/cell. The final energy comes out at -9.731 eV per atom. As for the formation energy from raw total energies: -1.16 eV/atom.

***

19.
The following is a DFT calculation (PBE) of an optimized crystal structure of ErRe2SiC.

Lattice parameters (Å, degrees): 5.785 5.785 7.307 90.00 90.00 140.35
Positions (direct):
Er 0.042 0.958 0.750
Er 0.958 0.042 0.250
Re 0.326 0.674 0.560
Re 0.326 0.674 0.940
Re 0.674 0.326 0.060
Re 0.674 0.326 0.440
Si 0.235 0.765 0.250
Si 0.765 0.235 0.750
C 0.500 0.500 0.000
C 0.500 0.500 0.500

The value obtained for the volume is 156.1 Å³/cell. The final energy comes out at -9.273 eV per atom. As for the formation energy from raw total energies: -0.45 eV/atom.

***

20.
The following is a DFT calculation (PBE) of an optimized crystal structure of Cs2HgAuF.

Lattice parameters (Å, degrees): 5.842 5.842 5.743 90.00 90.00 90.00
Positions (direct):
Cs 0.000 0.500 0.000
Cs 0.500 0.000 0.000
Hg 0.000 0.000 0.500
Au 0.500 0.500 0.500
F 0.000 0.000 0.000

The value obtained for the volume is 196.0 Å³/cell. The final energy comes out at -2.506 eV per atom. The excess energy over the best structure of this formula in the dataset is 115 meV/atom. As for the formation energy from raw total energies: -1.07 eV/atom.

***

21.
The following is a DFT calculation (PBE) of an optimized crystal structure of LiSi2W.

Lattice parameters (Å, degrees): 5.992 5.992 5.992 90.00 90.00 90.00
Positions (direct):
Li 0.000 0.000 0.000
Li 0.000 0.500 0.500
Li 0.500 0.000 0.500
Li 0.500 0.500 0.000
Si 0.000 0.000 0.500
Si 0.000 0.500 0.000
Si 0.250 0.250 0.250
Si 0.250 0.750 0.750
Si 0.500 0.000 0.000
Si 0.500 0.500 0.500
Si 0.750 0.250 0.750
Si 0.750 0.750 0.250
W 0.250 0.250 0.750
W 0.250 0.750 0.250
W 0.750 0.250 0.250
W 0.750 0.750 0.750

The value obtained for the volume is 215.2 Å³/cell. The final energy comes out at -5.981 eV per atom. The excess energy over the best structure of this formula in the dataset is 506 meV/atom. As for the formation energy from raw total energies: 0.45 eV/atom.

***

22.
The following is a DFT calculation (PBE) of an optimized crystal structure of CePrNd2N4.

Lattice parameters (Å, degrees): 6.286 3.640 6.292 90.00 109.32 90.00
Positions (direct):
Ce 0.000 0.000 0.000
Pr 0.000 0.500 0.500
Nd 0.500 0.000 0.500
Nd 0.500 0.500 0.000
N 0.240 0.500 0.238
N 0.244 0.000 0.760
N 0.756 0.000 0.240
N 0.760 0.500 0.762

The value obtained for the volume is 135.8 Å³/cell. The final energy comes out at -8.089 eV per atom. As for the formation energy from raw total energies: -1.39 eV/atom.

***

23.
The following is a DFT calculation (PBE) of an optimized crystal structure of BaSr2Zn6.

Lattice parameters (Å, degrees): 8.083 8.083 4.217 90.00 90.00 120.00
Positions (direct):
Ba 0.000 0.000 0.000
Sr 0.333 0.667 0.000
Sr 0.667 0.333 0.000
Zn 0.000 0.338 0.500
Zn 0.000 0.662 0.500
Zn 0.338 0.000 0.500
Zn 0.338 0.338 0.500
Zn 0.662 0.000 0.500
Zn 0.662 0.662 0.500

The value obtained for the volume is 238.6 Å³/cell. The final energy comes out at -1.653 eV per atom. The formation energy comes out at -0.22 eV per atom.

***

24.
The following is a DFT calculation (PBE) of an optimized crystal structure of K3TaGa2O8.

Lattice parameters (Å, degrees): 5.788 5.788 7.689 90.00 90.00 120.00
Positions (direct):
K 0.000 0.000 0.000
K 0.333 0.667 0.683
K 0.667 0.333 0.317
Ta 0.000 0.000 0.500
Ga 0.333 0.667 0.260
Ga 0.667 0.333 0.740
O 0.161 0.322 0.348
O 0.161 0.839 0.348
O 0.322 0.161 0.652
O 0.333 0.667 0.021
O 0.667 0.333 0.979
O 0.678 0.839 0.348
O 0.839 0.161 0.652
O 0.839 0.678 0.652

The value obtained for the volume is 223.1 Å³/cell. The final energy comes out at -6.175 eV per atom. As for the formation energy from raw total energies: -1.83 eV/atom.